No. 1
# meta-GGA SCAN ScCo2Mo, PBEsol geometry
# Fermi-level density of states   0.723 states/eV per atom
# DFT formation energy   0.14 eV/atom
# E   -20.7905 eV/atom
data_ScCo2Mo
_chemical_formula_sum 'Sc1 Co2 Mo1'
_symmetry_space_group_name_H-M 'P 4 m m'
_symmetry_Int_Tables_number 99
_cell_length_a 2.687
_cell_length_b 2.687
_cell_length_c 7.612
_cell_angle_alpha 90.00
_cell_angle_beta 90.00
_cell_angle_gamma 90.00
loop_
_symmetry_equiv_pos_as_xyz
'x,y,z'
'-y,x,z'
'-x,-y,z'
'y,-x,z'
'-x,y,z'
'y,x,z'
'x,-y,z'
'-y,-x,z'
loop_
_atom_site_label
_atom_site_type_symbol
_atom_site_fract_x
_atom_site_fract_y
_atom_site_fract_z
Sc1 Sc 0.000 0.000 0.000
Co1 Co 0.000 0.000 0.444
Co2 Co 0.500 0.500 0.260
Mo1 Mo 0.500 0.500 0.689



No. 2
# meta-GGA SCAN CrSb2As, PBEsol geometry
# Raw formation energy   0.1851 eV/atom
# Fermi-level density of states   0.516 states/eV per atom
# E   -28.0891 eV/atom
data_CrSb2As
_chemical_formula_sum 'Cr1 Sb2 As1'
_symmetry_space_group_name_H-M 'P 4 m m'
_symmetry_Int_Tables_number 99
_cell_length_a 3.188
_cell_length_b 3.188
_cell_length_c 7.697
_cell_angle_alpha 90.00
_cell_angle_beta 90.00
_cell_angle_gamma 90.00
loop_
_symmetry_equiv_pos_as_xyz
'x,y,z'
'-y,x,z'
'-x,-y,z'
'y,-x,z'
'-x,y,z'
'y,x,z'
'x,-y,z'
'-y,-x,z'
loop_
_atom_site_label
_atom_site_type_symbol
_atom_site_fract_x
_atom_site_fract_y
_atom_site_fract_z
Cr1 Cr 0.000 0.000 0.000
Sb1 Sb 0.000 0.000 0.608
Sb2 Sb 0.500 0.500 0.234
As1 As 0.500 0.500 0.863



No. 3
# meta-GGA SCAN BeCo3S, PBEsol geometry
# Raw formation energy   0.6742 eV/atom
# Fermi-level density of states   0.868 states/eV per atom
# E   -12.5047 eV/atom
data_BeCo3S
_chemical_formula_sum 'Be1 Co3 S1'
_symmetry_space_group_name_H-M 'P m -3 m'
_symmetry_Int_Tables_number 221
_symmetry_space_group_name_Hall '-P 4 2 3'
_cell_length_a 3.851
_cell_length_b 3.851
_cell_length_c 3.851
_cell_angle_alpha 90.00
_cell_angle_beta 90.00
_cell_angle_gamma 90.00
loop_
_atom_site_label
_atom_site_type_symbol
_atom_site_fract_x
_atom_site_fract_y
_atom_site_fract_z
Be1 Be 0.000 0.000 0.000
Co1 Co 0.000 0.000 0.500
S1 S 0.500 0.500 0.500



No. 4
# meta-GGA SCAN Li2CrSb, PBEsol geometry
# Raw formation energy   -0.3225 eV/atom
# Fermi-level density of states   0.194 states/eV per atom
# E   -15.4287 eV/atom
data_Li2CrSb
_chemical_formula_sum 'Li4 Cr2 Sb2'
_symmetry_space_group_name_H-M 'I 4/m m m'
_symmetry_Int_Tables_number 139
_symmetry_space_group_name_Hall '-I 4 2'
_cell_length_a 4.154
_cell_length_b 4.154
_cell_length_c 8.030
_cell_angle_alpha 90.00
_cell_angle_beta 90.00
_cell_angle_gamma 90.00
loop_
_atom_site_label
_atom_site_type_symbol
_atom_site_fract_x
_atom_site_fract_y
_atom_site_fract_z
Li1 Li 0.000 0.500 0.250
Cr1 Cr 0.000 0.000 0.000
Sb1 Sb 0.000 0.000 0.500



The lowest E belongs to which entry?
CrSb2As



What did the fourth record say?
# meta-GGA SCAN Li2CrSb, PBEsol geometry
# Raw formation energy   -0.3225 eV/atom
# Fermi-level density of states   0.194 states/eV per atom
# E   -15.4287 eV/atom
data_Li2CrSb
_chemical_formula_sum 'Li4 Cr2 Sb2'
_symmetry_space_group_name_H-M 'I 4/m m m'
_symmetry_Int_Tables_number 139
_symmetry_space_group_name_Hall '-I 4 2'
_cell_length_a 4.154
_cell_length_b 4.154
_cell_length_c 8.030
_cell_angle_alpha 90.00
_cell_angle_beta 90.00
_cell_angle_gamma 90.00
loop_
_atom_site_label
_atom_site_type_symbol
_atom_site_fract_x
_atom_site_fract_y
_atom_site_fract_z
Li1 Li 0.000 0.500 0.250
Cr1 Cr 0.000 0.000 0.000
Sb1 Sb 0.000 0.000 0.500



The highest E belongs to which entry?
BeCo3S



The lowest E belongs to which entry?
CrSb2As